(1)
Density functional theory data (GGA-PBE) for a geometry-optimized PmMg6Zn6 structure.

The structure belongs to space group Immm (No. 71); the cell edges are 5.499, 9.408 and 9.536 Å and the angles 90.00°, 90.00° and 90.00°. The distinct sites, in fractional coordinates, are Pm at (0.000, 0.000, 0.000), Mg at (0.000, 0.000, 0.346), Mg at (0.000, 0.302, 0.500), Mg at (0.000, 0.347, 0.000), Zn at (0.000, 0.500, 0.276) and Zn at (0.250, 0.250, 0.250).



(2)
Density functional theory data (GGA-PBE) for a geometry-optimized Pm3Mg2Zn structure.

The structure belongs to space group P4/mmm (No. 123); the cell edges are 3.754, 3.754 and 11.647 Å and the angles 90.00°, 90.00° and 90.00°. The distinct sites, in fractional coordinates, are Pm at (0.000, 0.000, 0.000), Pm at (0.000, 0.000, 0.351), Mg at (0.500, 0.500, 0.172) and Zn at (0.500, 0.500, 0.500).



(3)
Density functional theory data (GGA-PBE) for a geometry-optimized PmMg6Zn2 structure.

The structure belongs to space group P4/mmm (No. 123); the cell edges are 4.355, 4.355 and 10.607 Å and the angles 90.00°, 90.00° and 90.00°. The distinct sites, in fractional coordinates, are Pm at (0.000, 0.000, 0.000), Mg at (0.000, 0.000, 0.500), Mg at (0.000, 0.500, 0.277), Mg at (0.500, 0.500, 0.500) and Zn at (0.500, 0.500, 0.115).



(4)
Density functional theory data (GGA-PBE) for a geometry-optimized Pm4MgZn3 structure.

The structure belongs to space group Pmmm (No. 47); the cell edges are 3.719, 5.231 and 10.458 Å and the angles 90.00°, 90.00° and 90.00°. The distinct sites, in fractional coordinates, are Pm at (0.000, 0.000, 0.000), Pm at (0.000, 0.000, 0.500), Pm at (0.000, 0.500, 0.239), Mg at (0.500, 0.500, 0.500), Zn at (0.500, 0.000, 0.256) and Zn at (0.500, 0.500, 0.000).



(5)
Density functional theory data (GGA-PBE) for a geometry-optimized PmMg3Zn8 structure.

The structure belongs to space group R3m (No. 160, hexagonal axes); the cell edges are 5.3152, 5.3152 and 26.2249 Å and the angles 90.00°, 90.00° and 120.00°. The distinct sites, in fractional coordinates, are Pm at (0.0000, 0.0000, 0.0000), Mg at (0.0000, 0.0000, 0.3807), Mg at (0.0000, 0.0000, 0.5020), Mg at (0.0000, 0.0000, 0.8739), Zn at (0.0000, 0.0000, 0.1875), Zn at (0.0000, 0.0000, 0.6887), Zn at (0.0021, 0.5010, 0.4408) and Zn at (0.1685, 0.3370, 0.2682).

The energy above the most stable polymorph in this dataset is 0.11 eV/f.u.



(6)
Density functional theory data (GGA-PBE) for a geometry-optimized PmMg2Zn structure.

The structure belongs to space group P4/mmm (No. 123); the cell edges are 3.351, 3.351 and 8.334 Å and the angles 90.00°, 90.00° and 90.00°. The distinct sites, in fractional coordinates, are Pm at (0.000, 0.000, 0.000), Mg at (0.500, 0.500, 0.301) and Zn at (0.000, 0.000, 0.500).

The energy above the most stable polymorph in this dataset is 0.46 eV/f.u.



(7)
Density functional theory data (GGA-PBE) for a geometry-optimized Pm3MgZn4 structure.

The structure belongs to space group R-3m (No. 166, hexagonal axes); the cell edges are 5.0094, 5.0094 and 25.4852 Å and the angles 90.00°, 90.00° and 120.00°. The distinct sites, in fractional coordinates, are Pm at (0.0000, 0.0000, 0.0000), Pm at (0.0000, 0.0000, 0.2428), Mg at (0.0000, 0.0000, 0.5000), Zn at (0.0000, 0.0000, 0.1255) and Zn at (0.0000, 0.0000, 0.3754).



(8)
Density functional theory data (GGA-PBE) for a geometry-optimized Pm3Mg3Zn2 structure.

The structure belongs to space group R3m (No. 160, hexagonal axes); the cell edges are 5.1663, 5.1663 and 25.9764 Å and the angles 90.00°, 90.00° and 120.00°. The distinct sites, in fractional coordinates, are Pm at (0.0000, 0.0000, 0.0000), Pm at (0.0000, 0.0000, 0.2436), Pm at (0.0000, 0.0000, 0.7532), Mg at (0.0000, 0.0000, 0.1248), Mg at (0.0000, 0.0000, 0.4982), Mg at (0.0000, 0.0000, 0.6215), Zn at (0.0000, 0.0000, 0.3758) and Zn at (0.0000, 0.0000, 0.8743).

The energy above the most stable polymorph in this dataset is 0.00 eV/f.u.



(9)
Density functional theory data (GGA-PBE) for a geometry-optimized PmMg8Zn4 structure.

The structure belongs to space group I4/mmm (No. 139); the cell edges are 9.713, 9.713 and 5.621 Å and the angles 90.00°, 90.00° and 90.00°. The distinct sites, in fractional coordinates, are Pm at (0.000, 0.000, 0.000), Mg at (0.000, 0.215, 0.500), Mg at (0.000, 0.346, 0.000) and Zn at (0.250, 0.250, 0.250).



(10)
Density functional theory data (GGA-PBE) for a geometry-optimized Pm2Mg3Zn2 structure.

The structure belongs to space group C2/m (No. 12); the cell edges are 10.332, 4.585 and 7.220 Å and the angles 90.00°, 97.41° and 90.00°. The distinct sites, in fractional coordinates, are Pm at (0.126, 0.000, 0.354), Mg at (0.000, 0.500, 0.000), Mg at (0.186, 0.000, 0.863) and Zn at (0.083, 0.500, 0.653).



(11)
Density functional theory data (GGA-PBE) for a geometry-optimized PmMg3Zn8 structure.

The structure belongs to space group P3m1 (No. 156); the cell edges are 5.2278, 5.2278 and 9.0257 Å and the angles 90.00°, 90.00° and 120.00°. The distinct sites, in fractional coordinates, are Pm at (0.0000, 0.0000, 0.0000), Mg at (0.0000, 0.0000, 0.3764), Mg at (0.6667, 0.3333, 0.5009), Mg at (0.6667, 0.3333, 0.8555), Zn at (0.1637, 0.3274, 0.6830), Zn at (0.3333, 0.6667, 0.4492), Zn at (0.3333, 0.6667, 0.9392) and Zn at (0.5020, 0.0039, 0.2026).

The energy above the most stable polymorph in this dataset is 0.00 eV/f.u.



(12)
Density functional theory data (GGA-PBE) for a geometry-optimized PmMg2Zn3 structure.

The structure belongs to space group Cmcm (No. 63); the cell edges are 10.459, 8.094 and 6.007 Å and the angles 90.00°, 90.00° and 90.00°. The distinct sites, in fractional coordinates, are Pm at (0.000, 0.167, 0.250), Mg at (0.215, 0.500, 0.000), Zn at (0.000, 0.455, 0.750) and Zn at (0.128, 0.193, 0.750).



(13)
Density functional theory data (GGA-PBE) for a geometry-optimized Pm3Mg2Zn9 structure.

The structure belongs to space group Immm (No. 71); the cell edges are 4.530, 8.901 and 13.687 Å and the angles 90.00°, 90.00° and 90.00°. The distinct sites, in fractional coordinates, are Pm at (0.000, 0.000, 0.000), Pm at (0.000, 0.000, 0.288), Mg at (0.000, 0.185, 0.500), Zn at (0.000, 0.282, 0.140), Zn at (0.000, 0.359, 0.338) and Zn at (0.000, 0.500, 0.000).



(14)
Density functional theory data (GGA-PBE) for a geometry-optimized Pm2MgZn5 structure.

The structure belongs to space group Cmcm (No. 63); the cell edges are 4.416, 16.595 and 9.144 Å and the angles 90.00°, 90.00° and 90.00°. The distinct sites, in fractional coordinates, are Pm at (0.000, 0.000, 0.000), Pm at (0.000, 0.204, 0.250), Mg at (0.000, 0.445, 0.750), Zn at (0.000, 0.186, 0.608), Zn at (0.000, 0.348, 0.518) and Zn at (0.000, 0.395, 0.250).

The energy above the most stable polymorph in this dataset is 0.00 eV/f.u.



(15)
Density functional theory data (GGA-PBE) for a geometry-optimized PmMg3Zn structure.

The structure belongs to space group Amm2 (No. 38); the cell edges are 4.809, 4.872 and 10.707 Å and the angles 90.00°, 90.00° and 90.00°. The distinct sites, in fractional coordinates, are Pm at (0.000, 0.000, 0.000), Mg at (0.000, 0.000, 0.700), Mg at (0.500, 0.000, 0.216), Mg at (0.500, 0.000, 0.504) and Zn at (0.000, 0.000, 0.336).

The energy above the most stable polymorph in this dataset is 0.43 eV/f.u.



(16)
Density functional theory data (GGA-PBE) for a geometry-optimized PmMg4Zn structure.

The structure belongs to space group Pmma (No. 51); the cell edges are 8.373, 4.351 and 7.764 Å and the angles 90.00°, 90.00° and 90.00°. The distinct sites, in fractional coordinates, are Pm at (0.250, 0.000, 0.117), Mg at (0.000, 0.000, 0.500), Mg at (0.058, 0.500, 0.810), Mg at (0.250, 0.500, 0.447) and Zn at (0.250, 0.000, 0.720).



(17)
Density functional theory data (GGA-PBE) for a geometry-optimized Pm2MgZn2 structure.

The structure belongs to space group P4/mbm (No. 127); the cell edges are 7.429, 7.429 and 4.497 Å and the angles 90.00°, 90.00° and 90.00°. The distinct sites, in fractional coordinates, are Pm at (0.168, 0.332, 0.000), Mg at (0.000, 0.000, 0.500) and Zn at (0.128, 0.628, 0.500).

The energy above the most stable polymorph in this dataset is 0.00 eV/f.u.



(18)
Density functional theory data (GGA-PBE) for a geometry-optimized PmMg2Zn6 structure.

The structure belongs to space group P6/mmm (No. 191); the cell edges are 7.8472, 7.8472 and 3.2133 Å and the angles 90.00°, 90.00° and 120.00°. The distinct sites, in fractional coordinates, are Pm at (0.0000, 0.0000, 0.0000), Mg at (0.3333, 0.6667, 0.0000) and Zn at (0.0000, 0.3397, 0.5000).



(19)
Density functional theory data (GGA-PBE) for a geometry-optimized PmMg7Zn5 structure.

The structure belongs to space group Imm2 (No. 44); the cell edges are 5.550, 9.536 and 9.662 Å and the angles 90.00°, 90.00° and 90.00°. The distinct sites, in fractional coordinates, are Pm at (0.000, 0.000, 0.000), Mg at (0.000, 0.000, 0.341), Mg at (0.000, 0.000, 0.650), Mg at (0.000, 0.294, 0.498), Mg at (0.000, 0.346, 0.992), Mg at (0.000, 0.500, 0.274), Zn at (0.000, 0.500, 0.712) and Zn at (0.250, 0.245, 0.246).



(20)
Density functional theory data (GGA-PBE) for a geometry-optimized Pm5MgZn3 structure.

The structure belongs to space group P6_3/mcm (No. 193); the cell edges are 9.0615, 9.0615 and 6.7300 Å and the angles 90.00°, 90.00° and 120.00°. The distinct sites, in fractional coordinates, are Pm at (0.0000, 0.3143, 0.2500), Pm at (0.3333, 0.6667, 0.0000), Mg at (0.0000, 0.0000, 0.0000) and Zn at (0.0000, 0.3465, 0.7500).



(21)
Density functional theory data (GGA-PBE) for a geometry-optimized PmMg3Zn structure.

The structure belongs to space group P2_1/m (No. 11); the cell edges are 7.440, 4.167 and 8.093 Å and the angles 90.00°, 106.61° and 90.00°. The distinct sites, in fractional coordinates, are Pm at (0.181, 0.250, 0.164), Mg at (0.088, 0.250, 0.653), Mg at (0.337, 0.750, 0.899), Mg at (0.344, 0.750, 0.519) and Zn at (0.496, 0.250, 0.749).

The energy above the most stable polymorph in this dataset is 0.00 eV/f.u.



It is found that the DOS at the Fermi energy values, taken in the order of the records, are 0.2986; 1.1346; 0.5362; 1.0667; 0.3646; 0.9227; 0.6884; 0.7942; 0.4080; 0.7127; 0.3790; 0.5635; 0.5931; 0.6256; 0.7534; 0.4266; 1.1723; 0.4093; 0.4450; 1.0154; 0.7426 states/eV per atom.
It is found that the calculated volume values, taken in the order of the records, are 19.0; 27.4; 22.3; 25.4; 17.8; 23.4; 23.1; 25.0; 20.4; 24.2; 17.8; 21.2; 19.7; 20.9; 25.1; 23.6; 24.8; 19.0; 19.7; 26.6; 24.0 A^3/atom.
It is found that the formation energy from the elements values, taken in the order of the records, are -177.8; -175.1; -128.0; -255.3; -176.6; -85.3; -298.3; -155.5; -145.0; -193.0; -185.9; -172.7; -318.2; -253.2; -44.1; -124.0; -261.3; -134.5; -155.8; -160.1; -129.9 meV per atom.